Version P
The following is a PBE with a Hubbard U calculation of VAg2F after structural relaxation, from Alexandria via LeMat-Bulk.

Density of states at the Fermi level: 4.27 states/eV per cell
Density: 6.08 g/cm3

a = 8.5820 Å, b = 8.5820 Å, c = 4.2373 Å
α = 90.00°, β = 90.00°, γ = 90.00°
Closest atoms and distances in Å follow each position.
Space group I-42d (No. 122)
Inequivalent atoms, fractional coordinates:
1 V 0.0000 0.0000 0.0000 (multiplicity 4)  2 F 2.12
2 Ag 0.1586 0.2500 0.6250 (multiplicity 8)  2 F 2.60, 2 Ag 2.64
3 F 0.0000 0.0000 0.5000 (multiplicity 4)  2 V 2.12


Version Q
The following is a PBE with a Hubbard U calculation of VAg2F after structural relaxation, from Alexandria via LeMat-Bulk.

Density of states at the Fermi level: 9.20 states/eV per cell
Density: 6.83 g/cm3

a = 6.5265 Å, b = 6.5265 Å, c = 6.5265 Å
α = 90.00°, β = 90.00°, γ = 90.00°
Closest atoms and distances in Å follow each position.
Space group Fm-3m (No. 225)
Inequivalent atoms, fractional coordinates:
1 V 0.0000 0.0000 0.0000 (multiplicity 4)  8 Ag 2.83
2 Ag 0.2500 0.2500 0.2500 (multiplicity 8)  4 F 2.83, 4 V 2.83
3 F 0.0000 0.0000 0.5000 (multiplicity 4)  8 Ag 2.83


Energy ordering: version P at the bottom, the next structure 373 meV per atom above.